A relaxed structure of NiPd4Pt2, computed with PBE-GGA.

Its spin magnetization is 1.82 μB per formula unit. The calculation puts the formation energy at 0.019 eV per atom. The volume comes out at 211.4 Å³/cell.

The space group is Cmmm (No. 65) and the conventional cell measures 2.750, 27.950 and 2.750 Å, with angles of 90.00, 90.00 and 90.00 degrees. The asymmetric unit holds Ni at (0.000, 0.000, 0.000), Pd at (0.000, 0.136, 0.000), Pd at (0.000, 0.438, 0.500) and Pt at (0.000, 0.291, 0.500).


A relaxed structure of NiPd4Pt, computed with PBE-GGA.

Its spin magnetization is 2.50 μB per formula unit. The calculation puts the formation energy at 0.000 eV per atom. The volume comes out at 178.2 Å³/cell.

The space group is C2/m (No. 12) and the conventional cell measures 14.301, 2.767 and 4.773 Å, with angles of 90.00, 109.35 and 90.00 degrees. The asymmetric unit holds Ni at (0.000, 0.000, 0.000), Pd at (0.162, 0.500, 0.999), Pd at (0.166, 0.000, 0.498) and Pt at (0.000, 0.500, 0.500).


A relaxed structure of NiPd2Pt7, computed with PBE-GGA.

Its spin magnetization is 1.63 μB per formula unit. The calculation puts the formation energy at 0.251 eV per atom. The volume comes out at 350.1 Å³/cell.

The space group is Cmmm (No. 65) and the conventional cell measures 8.271, 15.739 and 2.689 Å, with angles of 90.00, 90.00 and 90.00 degrees. The asymmetric unit holds Ni at (0.000, 0.000, 0.000), Pd at (0.000, 0.327, 0.500), Pt at (0.000, 0.181, 0.000), Pt at (0.000, 0.500, 0.500) and Pt at (0.221, 0.088, 0.500).


A relaxed structure of Ni10Pd6Pt, computed with PBE-GGA.

Its spin magnetization is 9.80 μB per formula unit. The calculation puts the formation energy at 0.175 eV per atom. The volume comes out at 228.2 Å³/cell.

The space group is P-31m (No. 162) and the conventional cell measures 7.2027, 7.2027 and 5.0800 Å, with angles of 90.00, 90.00 and 120.00 degrees. The asymmetric unit holds Ni at (0.0000, 0.2942, 0.1618), Ni at (0.3333, 0.6667, 0.0000), Ni at (0.3333, 0.6667, 0.5000), Pd at (0.0000, 0.3617, 0.6833) and Pt at (0.0000, 0.0000, 0.5000).


A relaxed structure of NiPd2Pt2, computed with PBE-GGA.

Its spin magnetization is 1.22 μB per formula unit. The calculation puts the formation energy at 0.743 eV per atom. The volume comes out at 181.8 Å³/cell.

The space group is I4/mmm (No. 139) and the conventional cell measures 4.917, 4.917 and 7.521 Å, with angles of 90.00, 90.00 and 90.00 degrees. The asymmetric unit holds Ni at (0.000, 0.000, 0.000), Pd at (0.000, 0.000, 0.337) and Pt at (0.000, 0.500, 0.250).


A relaxed structure of Ni7Pd3Pt, computed with PBE-GGA.

Its spin magnetization is 6.23 μB per formula unit. The calculation puts the formation energy at 0.312 eV per atom. The volume comes out at 308.3 Å³/cell.

The space group is C2/m (No. 12) and the conventional cell measures 8.857, 8.116 and 4.696 Å, with angles of 90.00, 114.03 and 90.00 degrees. The asymmetric unit holds Ni at (0.000, 0.000, 0.000), Ni at (0.188, 0.252, 0.680), Ni at (0.236, 0.500, 0.024), Pd at (0.000, 0.308, 0.000), Pd at (0.000, 0.500, 0.500) and Pt at (0.000, 0.000, 0.500).


A relaxed structure of Ni3Pd2Pt8, computed with PBE-GGA.

Its spin magnetization is 3.99 μB per formula unit. The calculation puts the formation energy at 0.094 eV per atom. The volume comes out at 409.4 Å³/cell.

The space group is Cmmm (No. 65) and the conventional cell measures 9.086, 16.468 and 2.736 Å, with angles of 90.00, 90.00 and 90.00 degrees. The asymmetric unit holds Ni at (0.000, 0.000, 0.000), Ni at (0.239, 0.000, 0.500), Pd at (0.000, 0.271, 0.000), Pt at (0.000, 0.130, 0.500), Pt at (0.000, 0.418, 0.500) and Pt at (0.247, 0.365, 0.000).


A relaxed structure of NiPd3Pt, computed with PBE-GGA.

Its spin magnetization is 1.52 μB per formula unit. The calculation puts the formation energy at 0.185 eV per atom. The volume comes out at 317.9 Å³/cell.

The space group is C2/m (No. 12) and the conventional cell measures 7.777, 7.929 and 5.512 Å, with angles of 90.00, 110.74 and 90.00 degrees. The asymmetric unit holds Ni at (0.238, 0.000, 0.498), Pd at (0.072, 0.500, 0.792), Pd at (0.175, 0.252, 0.200) and Pt at (0.081, 0.000, 0.817).